[1]
# ZrZnBr

A relaxed ZrZnBr crystal (PBE, Alexandria via LeMat-Bulk).

Lattice parameters (Å, degrees): 4.656 4.656 4.656 60.00 60.00 60.00
Positions (direct):
1 Br 0.000 0.000 0.000
2 Zn 0.500 0.500 0.500
3 Zr 0.250 0.250 0.250

Calculated values
ΔE to the lowest computed polymorph = 677 meV per atom
Space-group type = F-43m
Formation energy without anion corrections = 0.26 eV per atom


[2]
# Sc12Sn6Ru

A relaxed Sc12Sn6Ru crystal (PBE, Alexandria via LeMat-Bulk).

Lattice parameters (Å, degrees): 8.052 8.052 8.052 99.59 99.59 99.59
Positions (direct):
1 Sc 0.795 0.581 0.454
2 Sc 0.454 0.795 0.581
3 Sc 0.581 0.454 0.795
4 Sc 0.205 0.419 0.546
5 Sc 0.546 0.205 0.419
6 Sc 0.419 0.546 0.205
7 Sc 0.053 0.997 0.316
8 Sc 0.003 0.684 0.947
9 Sc 0.684 0.947 0.003
10 Sc 0.947 0.003 0.684
11 Sc 0.997 0.316 0.053
12 Sc 0.316 0.053 0.997
13 Sn 0.681 0.881 0.349
14 Sn 0.651 0.319 0.119
15 Sn 0.119 0.651 0.319
16 Sn 0.319 0.119 0.651
17 Sn 0.349 0.681 0.881
18 Sn 0.881 0.349 0.681
19 Ru 0.000 0.000 0.000

Calculated values
Space-group type = R-3
ΔE_f = -0.32 eV/atom


[3]
# ZrVHg2Pb

A relaxed ZrVHg2Pb crystal (PBE, Alexandria via LeMat-Bulk).

Lattice parameters (Å, degrees): 5.433 5.142 5.433 90.00 90.00 90.00
Each line ends with the local moment (μB).
Positions (direct):
1 Pb 0.000 0.000 0.000  0.00
2 Hg 0.000 0.000 0.500  -0.01
3 Hg 0.500 0.000 0.000  0.00
4 Zr 0.500 0.500 0.500  0.22
5 V 0.000 0.500 0.000  2.63

Calculated values
Space-group type = P4/mmm
ΔE_f = 1.33 eV/atom


[4]
# CaLa2Dy

A relaxed CaLa2Dy crystal (PBE, Alexandria via LeMat-Bulk).

Lattice parameters (Å, degrees): 3.702 3.702 12.556 81.52 81.52 60.00
Positions (direct):
1 Ca 0.500 0.500 0.501
2 La 0.078 0.078 0.766
3 La 0.255 0.255 0.234
4 Dy 0.667 0.667 0.000

Calculated values
ΔE to the lowest computed polymorph = 0 meV per atom
Space-group type = R3m
ΔE_f = 0.04 eV/atom


[5]
# SrCo2As

A relaxed SrCo2As crystal (PBE, Alexandria via LeMat-Bulk).

Lattice parameters (Å, degrees): 5.007 5.007 5.007 135.38 114.33 82.89
Each line ends with the local moment (μB).
Positions (direct):
1 As 0.250 0.750 0.500  -0.02
2 Co 0.080 0.080 0.000  0.38
3 Co 0.420 0.420 0.000  0.38
4 Sr 0.750 0.250 0.500  -0.02

Calculated values
Space-group type = Immm
ΔE_f = 0.24 eV/atom


[6]
# BaRe4Hg

A relaxed BaRe4Hg crystal (PBE, Alexandria via LeMat-Bulk).

Lattice parameters (Å, degrees): 5.499 5.499 5.499 60.00 60.00 60.00
Positions (direct):
1 Ba 0.750 0.750 0.750
2 Re 0.877 0.374 0.374
3 Re 0.374 0.374 0.877
4 Re 0.374 0.877 0.374
5 Re 0.374 0.374 0.374
6 Hg 0.000 0.000 0.000

Calculated values
Space-group type = F-43m
ΔE_f = 0.94 eV/atom


[7]
# MgTl2Bi

A relaxed MgTl2Bi crystal (PBE, Alexandria via LeMat-Bulk).

Lattice parameters (Å, degrees): 8.795 8.795 6.968 50.87 50.87 90.00
Positions (direct):
1 Mg 0.500 0.500 0.000
2 Mg 0.250 0.750 0.500
3 Tl 0.619 0.125 0.250
4 Tl 0.131 0.625 0.250
5 Tl 0.375 0.381 0.750
6 Tl 0.875 0.869 0.750
7 Bi 0.000 0.000 0.000
8 Bi 0.750 0.250 0.500

Calculated values
Space-group type = I-42d
ΔE_f = 0.06 eV/atom


[8]
# GaPPt2C

A relaxed GaPPt2C crystal (PBE, Alexandria via LeMat-Bulk).

Lattice parameters (Å, degrees): 4.749 3.406 4.749 90.00 90.00 90.00
Positions (direct):
1 P 0.000 0.000 0.000
2 C 0.000 0.500 0.000
3 Ga 0.500 0.500 0.500
4 Pt 0.000 0.000 0.500
5 Pt 0.500 0.000 0.000

Calculated values
Space-group type = P4/mmm
ΔE_f = 0.68 eV/atom


[9]
# Na2GaHg6

A relaxed Na2GaHg6 crystal (PBE, Alexandria via LeMat-Bulk).

Lattice parameters (Å, degrees): 5.609 6.912 7.034 119.43 91.16 90.00
Positions (direct):
1 Na 0.192 0.664 0.327
2 Na 0.808 0.336 0.673
3 Ga 0.000 0.000 0.000
4 Hg 0.309 0.633 0.813
5 Hg 0.304 0.187 0.374
6 Hg 0.309 0.180 0.813
7 Hg 0.691 0.367 0.187
8 Hg 0.696 0.813 0.626
9 Hg 0.691 0.820 0.187

Calculated values
Space-group type = C2/m
ΔE_f = -0.14 eV/atom


[10]
# ZrAlSi2

A relaxed ZrAlSi2 crystal (PBE, Alexandria via LeMat-Bulk).

Lattice parameters (Å, degrees): 5.173 5.173 4.721 88.40 88.40 32.74
Positions (direct):
1 Si 0.981 0.981 0.036
2 Si 0.770 0.770 0.715
3 Al 0.243 0.243 0.219
4 Zr 0.506 0.506 0.529

Calculated values
Space-group type = Cm
Formation energy without anion corrections = -0.19 eV per atom


[11]
# NaSrMg2Cu

A relaxed NaSrMg2Cu crystal (PBE, Alexandria via LeMat-Bulk).

Lattice parameters (Å, degrees): 5.113 5.113 5.489 90.00 90.00 90.00
Positions (direct):
1 Sr 0.500 0.500 0.500
2 Mg 0.000 0.500 0.000
3 Mg 0.500 0.000 0.000
4 Cu 0.000 0.000 0.000
5 Na 0.000 0.000 0.500

Calculated values
ΔE to the lowest computed polymorph = 13 meV per atom
Space-group type = P4/mmm
ΔE_f = 0.09 eV/atom


[12]
# Nd2YAg5

A relaxed Nd2YAg5 crystal (PBE, Alexandria via LeMat-Bulk).

Lattice parameters (Å, degrees): 5.153 5.153 8.067 108.63 108.63 90.00
Positions (direct):
1 Nd 0.730 0.730 0.460
2 Nd 0.270 0.270 0.540
3 Y 0.000 0.000 0.000
4 Ag 0.500 0.500 0.000
5 Ag 0.887 0.387 0.775
6 Ag 0.387 0.887 0.775
7 Ag 0.113 0.613 0.225
8 Ag 0.613 0.113 0.225

Calculated values
Space-group type = I4/mmm
ΔE_f = -0.21 eV/atom


The evaluated DOS(E_F) for the records listed, in turn: 3.4 20.5 4.5 5.3 4.8 4.8 4.3 2.5 2.5 1.7 3.3 5.9 states/eV per cell.